*one*
The following is a DFT calculation (PBE) of an optimized crystal structure of BeAgIr3.

Results
magnetic moment: 2.55 μB/cell

```
data_BeAgIr3
_chemical_formula_sum 'Be1 Ag1 Ir3'
_space_group_name_H-M_alt 'P 1'
_space_group_IT_number 1
_cell_length_a 4.7873
_cell_length_b 4.7873
_cell_length_c 4.7873
_cell_angle_alpha 90.00
_cell_angle_beta 90.00
_cell_angle_gamma 90.00
loop_
_space_group_symop_operation_xyz
'x,y,z'
loop_
_atom_site_label
_atom_site_fract_x
_atom_site_fract_y
_atom_site_fract_z
_atom_site_occupancy
Be1 0.5000 0.5000 0.5000 1
Ir1 0.0000 0.0000 0.5000 1
Ir2 0.0000 0.5000 0.0000 1
Ag1 0.0000 0.0000 0.0000 1
Ir3 0.5000 0.0000 0.0000 1
```

=====

*two*
The following is a DFT calculation (PBE) of an optimized crystal structure of BeAgIr3.

Results
magnetic moment: 0.00 μB/cell

```
data_BeAgIr3
_chemical_formula_sum 'Be1 Ag1 Ir3'
_space_group_name_H-M_alt 'P 1'
_space_group_IT_number 1
_cell_length_a 4.1823
_cell_length_b 4.1823
_cell_length_c 4.1823
_cell_angle_alpha 90.00
_cell_angle_beta 90.00
_cell_angle_gamma 90.00
loop_
_space_group_symop_operation_xyz
'x,y,z'
loop_
_atom_site_label
_atom_site_fract_x
_atom_site_fract_y
_atom_site_fract_z
_atom_site_occupancy
Ir1 0.5000 0.0000 0.0000 1
Ag1 0.5000 0.5000 0.5000 1
Be1 0.0000 0.0000 0.0000 1
Ir2 0.0000 0.0000 0.5000 1
Ir3 0.0000 0.5000 0.0000 1
```

=====

Which structure is the most stable? The one labeled *two*.

=====

*one*
The following is a DFT calculation (PBE) of an optimized crystal structure of KBe2Ag2.

Results
magnetic moment: 0.00 μB/cell

```
data_KBe2Ag2
_chemical_formula_sum 'K2 Be4 Ag4'
_space_group_name_H-M_alt 'P 1'
_space_group_IT_number 1
_cell_length_a 7.9227
_cell_length_b 7.9227
_cell_length_c 2.7586
_cell_angle_alpha 90.00
_cell_angle_beta 90.00
_cell_angle_gamma 90.00
loop_
_space_group_symop_operation_xyz
'x,y,z'
loop_
_atom_site_label
_atom_site_fract_x
_atom_site_fract_y
_atom_site_fract_z
_atom_site_occupancy
K1 0.0000 0.0000 0.0000 1
Ag1 0.6700 0.1700 0.0000 1
Ag2 0.8300 0.6700 0.0000 1
Be1 0.3958 0.1042 0.5000 1
K2 0.5000 0.5000 0.0000 1
Be2 0.8958 0.3958 0.5000 1
Be3 0.1042 0.6042 0.5000 1
Ag3 0.1700 0.3300 0.0000 1
Ag4 0.3300 0.8300 0.0000 1
Be4 0.6042 0.8958 0.5000 1
```

=====

*two*
The following is a DFT calculation (PBE) of an optimized crystal structure of KBe2Ag2.

Results
magnetic moment: 0.00 μB/cell

```
data_KBe2Ag2
_chemical_formula_sum 'K1 Be2 Ag2'
_space_group_name_H-M_alt 'P 1'
_space_group_IT_number 1
_cell_length_a 4.5982
_cell_length_b 4.5982
_cell_length_c 6.8335
_cell_angle_alpha 70.34
_cell_angle_beta 70.34
_cell_angle_gamma 90.00
loop_
_space_group_symop_operation_xyz
'x,y,z'
loop_
_atom_site_label
_atom_site_fract_x
_atom_site_fract_y
_atom_site_fract_z
_atom_site_occupancy
Be1 0.7500 0.2500 0.5000 1
K1 0.0000 0.0000 0.0000 1
Be2 0.2500 0.7500 0.5000 1
Ag1 0.2740 0.2740 0.4521 1
Ag2 0.7260 0.7260 0.5479 1
```

=====

Which structure is the most stable? The one labeled *two*.

=====

*one*
The following is a DFT calculation (PBE) of an optimized crystal structure of KBeAg.

Results
magnetic moment: 0.00 μB/cell

```
data_KBeAg
_chemical_formula_sum 'K1 Be1 Ag1'
_space_group_name_H-M_alt 'P 1'
_space_group_IT_number 1
_cell_length_a 4.8584
_cell_length_b 4.8584
_cell_length_c 4.8584
_cell_angle_alpha 60.00
_cell_angle_beta 60.00
_cell_angle_gamma 60.00
loop_
_space_group_symop_operation_xyz
'x,y,z'
loop_
_atom_site_label
_atom_site_fract_x
_atom_site_fract_y
_atom_site_fract_z
_atom_site_occupancy
Ag1 0.5000 0.5000 0.5000 1
K1 0.0000 0.0000 0.0000 1
Be1 0.2500 0.2500 0.2500 1
```

=====

*two*
The following is a DFT calculation (PBE) of an optimized crystal structure of KBeAg.

Results
magnetic moment: 0.00 μB/cell

```
data_KBeAg
_chemical_formula_sum 'K1 Be1 Ag1'
_space_group_name_H-M_alt 'P 1'
_space_group_IT_number 1
_cell_length_a 6.5924
_cell_length_b 6.5930
_cell_length_c 3.3643
_cell_angle_alpha 75.21
_cell_angle_beta 75.20
_cell_angle_gamma 29.57
loop_
_space_group_symop_operation_xyz
'x,y,z'
loop_
_atom_site_label
_atom_site_fract_x
_atom_site_fract_y
_atom_site_fract_z
_atom_site_occupancy
Be1 0.4027 0.4027 0.5973 1
Ag1 0.9326 0.9326 0.0674 1
K1 0.6647 0.6647 0.3353 1
```

=====

Which structure is the most stable? The one labeled *two*.

=====

*one*
The following is a DFT calculation (PBE) of an optimized crystal structure of KBeAg.

Results
magnetic moment: 0.00 μB/cell

```
data_KBeAg
_chemical_formula_sum 'K1 Be1 Ag1'
_space_group_name_H-M_alt 'P 1'
_space_group_IT_number 1
_cell_length_a 4.0805
_cell_length_b 4.0805
_cell_length_c 5.4636
_cell_angle_alpha 90.00
_cell_angle_beta 90.00
_cell_angle_gamma 120.00
loop_
_space_group_symop_operation_xyz
'x,y,z'
loop_
_atom_site_label
_atom_site_fract_x
_atom_site_fract_y
_atom_site_fract_z
_atom_site_occupancy
K1 0.6667 0.3333 0.6665 1
Be1 0.3333 0.6667 0.1670 1
Ag1 0.0000 0.0000 0.1665 1
```

=====

*two*
The following is a DFT calculation (PBE) of an optimized crystal structure of KBeAg.

Results
magnetic moment: 0.00 μB/cell

```
data_KBeAg
_chemical_formula_sum 'K1 Be1 Ag1'
_space_group_name_H-M_alt 'P 1'
_space_group_IT_number 1
_cell_length_a 4.9538
_cell_length_b 4.9538
_cell_length_c 4.9538
_cell_angle_alpha 60.00
_cell_angle_beta 60.00
_cell_angle_gamma 60.00
loop_
_space_group_symop_operation_xyz
'x,y,z'
loop_
_atom_site_label
_atom_site_fract_x
_atom_site_fract_y
_atom_site_fract_z
_atom_site_occupancy
Be1 0.0000 0.0000 0.0000 1
Ag1 0.2500 0.2500 0.2500 1
K1 0.5000 0.5000 0.5000 1
```

=====

Which structure is the most stable? The one labeled *one*.